# 1
The following is a DFT calculation (PBE) of an optimized crystal structure of La4P2Cl.

Properties
**DOS(E_F)**: 5.0 states/eV/cell
**Total magnetization**: 0.0 μB/f.u.
**Polymorph energy (0 for the lowest one)**: 0.0 meV per atom

a = 4.175 Å, b = 4.175 Å, c = 14.313 Å
α = 81.61°, β = 81.61°, γ = 60.00°
Atoms (fractional coordinates):
La 0.122 0.122 0.633
La 0.287 0.287 0.140
La 0.713 0.713 0.860
La 0.878 0.878 0.367
P 0.417 0.417 0.749
P 0.583 0.583 0.251
Cl 0.000 0.000 0.000



# 2
The following is a DFT calculation (PBE) of an optimized crystal structure of Zr2NiHg.

Properties
**DOS(E_F)**: 2.7 states/eV/cell
**DFT formation energy**: -0.4 eV per formula unit
**Total magnetization**: 0.0 μB/f.u.

a = 8.042 Å, b = 8.042 Å, c = 8.042 Å
α = 25.44°, β = 25.44°, γ = 25.44°
Atoms (fractional coordinates):
Hg 0.250 0.250 0.250
Ni 0.750 0.750 0.750
Zr 0.016 0.016 0.016
Zr 0.484 0.484 0.484



# 3
The following is a DFT calculation (PBE) of an optimized crystal structure of Mg2Cu2Si.

Properties
**DOS(E_F)**: 3.2 states/eV/cell
**Total magnetization**: 0.0 μB/f.u.
**Polymorph energy (0 for the lowest one)**: 65.9 meV per atom

a = 6.217 Å, b = 6.217 Å, c = 4.122 Å
α = 90.00°, β = 90.00°, γ = 90.00°
Atoms (fractional coordinates):
Si 0.000 0.000 0.000
Si 0.500 0.500 0.000
Mg 0.169 0.669 0.500
Mg 0.669 0.831 0.500
Mg 0.831 0.331 0.500
Mg 0.331 0.169 0.500
Cu 0.358 0.858 0.000
Cu 0.858 0.642 0.000
Cu 0.642 0.142 0.000
Cu 0.142 0.358 0.000